The following is a DFT calculation (GGA-PBE) of an optimized crystal structure of NbBi3C.

It has space group Pm-3m (No. 221), with a = 4.899 Å, b = 4.899 Å, c = 4.899 Å, α = 90.00°, β = 90.00° and γ = 90.00°. The asymmetric unit holds Nb at (0.000, 0.000, 0.000), Bi at (0.000, 0.500, 0.500) and C at (0.500, 0.500, 0.500).

The value obtained for the calculated volume is 23.519 Å³ per atom. The polymorph energy (0 for the lowest one) is 0 meV per atom.